Crystalline ScReS2 at its relaxed geometry, computed with PBE-GGA.

Lattice parameters (Å, degrees): 3.2356 3.2356 23.7961 90.00 90.00 120.00
Closest atoms and distances in Å follow each position.
Space group R-3m (No. 166, hexagonal axes)
Inequivalent atoms, fractional coordinates:
Sc  0.0000  0.0000  0.0000 x3  6 S 2.51
Re  0.0000  0.0000  0.5000 x3  2 S 2.29
S  0.0000  0.0000  0.4040 x6  1 Re 2.29, 3 Sc 2.51

Calculated values
Formation energy (no corrections): -0.3578 eV per atom
Total DFT energy (no corrections): -7.116 eV per atom
Total moment: 0.00 Bohr magnetons per cell
N(E_F): 2.975 states/eV/f.u.